No. 1
Compound: AlAg2Mo
Source: Alexandria via LeMat-Bulk
Functional: PBE
Structure: relaxed

abc: 5.013 5.659 2.716
angles: 78.13 85.55 115.11
Element x y z (fractional)
Mo (0.500, 0.500, 0.000)
Al (0.000, 0.500, 0.500)
Ag (0.000, 0.000, 0.000)
Ag (0.500, 0.000, 0.500)

## Properties
* energy relative to the elements: 0.220 eV per atom

No. 2
Compound: Pm2PAu
Source: Alexandria via LeMat-Bulk
Functional: PBE
Structure: relaxed

abc: 4.071 4.071 7.719
angles: 74.72 74.72 60.00
Element x y z (fractional)
Pm (0.075, 0.075, 0.776)
Pm (0.259, 0.259, 0.223)
P (0.666, 0.666, 0.001)
Au (0.500, 0.500, 0.500)

## Properties
* energy relative to the elements: -1.097 eV per atom
* energy above the most stable polymorph in this dataset: 0.0000 eV per atom

The highest energy relative to the elements belongs to which entry? AlAg2Mo